No. 1
VASP calculation (PBE) on a relaxed TaSnBiRu crystal.

a b c (Å): 3.518 5.289 5.460
angles (deg): 95.37 108.57 109.15
Element x y z (fractional)
1 Ta 0.000 0.000 0.000
2 Sn 0.874 0.510 0.243
3 Bi 0.369 0.141 0.589
4 Ru 0.245 0.636 0.851

Computed properties:
The relative energy among the computed polymorphs is 259 meV per atom. The calculation puts the total moment at 0.000 μB/f.u. The density of states at the Fermi level is 2.8 states/eV per cell. As for the symmetry: P1. For the formation energy, the calculation gives 216 meV per atom.

=====

No. 2
VASP calculation (PBE) on a relaxed LiCoN2 crystal.

a b c (Å): 3.453 3.453 3.453
angles (deg): 60.00 60.00 60.00
Element x y z (fractional)
1 Li 0.000 0.000 0.000
2 Co 0.500 0.500 0.500
3 N 0.250 0.250 0.250
4 N 0.750 0.750 0.750

Computed properties:
Its formation energy from raw total energies is 0.56 eV/atom. The relative energy among the computed polymorphs is 451 meV per atom. The calculation puts the total moment at 0.000 μB/f.u. The density of states at the Fermi level is 0.3 states/eV per cell. As for the symmetry: Fm-3m.

=====

No. 3
VASP calculation (PBE) on a relaxed Rb2CuAu2 crystal.

a b c (Å): 7.191 7.191 5.491
angles (deg): 90.00 90.00 90.00
Element x y z (fractional)
1 Rb 0.171 0.329 0.000
2 Rb 0.329 0.829 0.000
3 Rb 0.671 0.171 0.000
4 Rb 0.829 0.671 0.000
5 Cu 0.000 0.000 0.500
6 Cu 0.500 0.500 0.500
7 Au 0.150 0.650 0.500
8 Au 0.350 0.150 0.500
9 Au 0.650 0.850 0.500
10 Au 0.850 0.350 0.500

Computed properties:
The relative energy among the computed polymorphs is 55 meV per atom. The calculation puts the total moment at 0.000 μB/f.u. The density of states at the Fermi level is 2.7 states/eV per cell. As for the symmetry: P4/mbm. For the formation energy, the calculation gives 27 meV per atom.

=====

No. 4
VASP calculation (PBE) on a relaxed Cd3SiOs crystal.

a b c (Å): 4.942 4.942 4.942
angles (deg): 90.00 90.00 90.00
Element x y z (fractional)
1 Cd 0.000 0.000 0.500
2 Cd 0.000 0.500 0.000
3 Cd 0.500 0.000 0.000
4 Si 0.000 0.000 0.000
5 Os 0.500 0.500 0.500

Computed properties:
Its formation energy from raw total energies is 1.41 eV/atom. The relative energy among the computed polymorphs is 215 meV per atom. The calculation puts the total moment at 2.143 μB/f.u. The density of states at the Fermi level is 6.8 states/eV per cell. As for the symmetry: Pm-3m.

=====

No. 5
VASP calculation (PBE) on a relaxed Ba3AsCl crystal.

a b c (Å): 6.399 6.399 6.399
angles (deg): 90.00 90.00 90.00
Element x y z (fractional)
1 Ba 0.000 0.000 0.500
2 Ba 0.000 0.500 0.000
3 Ba 0.500 0.000 0.000
4 As 0.000 0.000 0.000
5 Cl 0.500 0.500 0.500

Computed properties:
Its formation energy from raw total energies is -0.84 eV/atom. The relative energy among the computed polymorphs is 0 meV per atom. The calculation puts the total moment at 1.006 μB/f.u. The density of states at the Fermi level is 5.3 states/eV per cell. As for the symmetry: Pm-3m.

=====

No. 6
VASP calculation (PBE) on a relaxed UTi3S6 crystal.

a b c (Å): 10.223 3.550 10.363
angles (deg): 90.00 108.49 90.00
Element x y z (fractional)
1 U 0.049 0.250 0.203
2 U 0.951 0.750 0.797
3 Ti 0.134 0.250 0.575
4 Ti 0.323 0.750 0.992
5 Ti 0.445 0.250 0.356
6 Ti 0.555 0.750 0.644
7 Ti 0.677 0.250 0.008
8 Ti 0.866 0.750 0.425
9 S 0.096 0.750 0.409
10 S 0.132 0.250 0.968
11 S 0.202 0.750 0.747
12 S 0.278 0.750 0.228
13 S 0.383 0.250 0.566
14 S 0.481 0.250 0.117
15 S 0.519 0.750 0.883
16 S 0.617 0.750 0.434
17 S 0.722 0.250 0.772
18 S 0.798 0.250 0.253
19 S 0.868 0.750 0.032
20 S 0.904 0.250 0.591

Computed properties:
Its formation energy from raw total energies is -1.37 eV/atom. The calculation puts the total moment at 3.468 μB/f.u. The density of states at the Fermi level is 18.3 states/eV per cell. As for the symmetry: P2_1/m.